The following is a DFT calculation (GGA-PBEsol) of a relaxed TlCdPb2 crystal.

Values from the calculation:
ΔH_f (0 K) = 0.03 eV/atom
symmetry = P4mm

```
TlCdPb2
1.0
-0.471 -3.352 -0.077
3.350 -0.473 0.119
-0.360 -0.169 9.493
Pb Tl Cd
2 1 1
Cartesian
1.349 -1.955 2.413
-0.354 -0.166 9.346
-0.186 -0.087 4.897
1.171 -2.039 7.117
```

=====

The following is a DFT calculation (GGA-PBEsol) of a relaxed TlSiPt2 crystal.

Values from the calculation:
total energy = -5.66 eV/atom
symmetry = Immm

```
TlSiPt2
1.0
-2.062 3.057 -0.048
-1.154 1.375 -4.514
-4.688 -0.951 -0.851
Pt Tl Si
2 1 1
Cartesian
-4.722 1.204 -3.790
-3.181 2.277 -1.623
-1.031 1.529 -0.024
-2.921 0.212 -2.683
```